(1)
NbCoS2 (PBE, optimized geometry); ΔE to the lowest computed polymorph = 0.330 eV/atom
1.0
-2.681 2.681 5.040
2.681 -2.681 5.040
2.681 2.681 -5.040
Nb Co S
2 2 4
Cartesian
0.000 0.000 0.000
0.000 2.681 2.520
2.681 0.000 2.520
0.000 0.000 5.040
1.340 -1.158 3.780
1.523 1.340 1.260
1.340 3.839 -1.260
1.158 1.340 6.300

***

(2)
NbCoS3 (PBE, optimized geometry); ΔE to the lowest computed polymorph = 0.849 eV/atom
1.0
4.787 0.000 0.000
0.000 4.787 0.000
0.000 0.000 4.787
Nb Co S
1 1 3
Cartesian
0.000 0.000 0.000
2.393 2.393 2.393
0.000 0.000 2.393
0.000 2.393 0.000
2.393 0.000 0.000

***

(3)
A plane-wave DFT calculation with PBE was carried out for a geometry-optimized Nb2CoS6 structure.

Structure (POSCAR):
```
Nb2CoS6
1.0
5.717 0.000 0.000
0.000 5.717 0.000
0.000 0.000 10.443
Nb Co S
4 2 12
Cartesian
0.000 0.000 1.589
0.000 0.000 8.853
2.859 2.859 3.632
2.859 2.859 6.811
0.000 0.000 5.221
2.859 2.859 0.000
1.075 1.075 3.520
1.075 1.075 6.923
1.264 1.264 0.000
1.595 4.123 5.221
1.784 3.933 1.701
1.784 3.933 8.741
3.933 1.784 1.701
3.933 1.784 8.741
4.123 1.595 5.221
4.453 4.453 0.000
4.643 4.643 3.520
4.643 4.643 6.923
```

***

(4)
NbCoS3 (PBE, optimized geometry); ΔE to the lowest computed polymorph = 0.000 eV/atom
1.0
1.733 -6.872 0.000
1.733 6.872 0.000
0.000 0.000 7.048
Nb Co S
2 2 6
Cartesian
1.733 4.103 5.286
1.733 -4.103 1.762
1.733 1.067 5.286
1.733 -1.067 1.762
1.733 6.736 5.286
1.733 2.211 0.034
1.733 2.211 3.490
1.733 -2.211 3.559
1.733 -2.211 7.014
1.733 -6.736 1.762

***

Here are the calculated electronic total energy numbers, same order: -6.80, -5.61, -6.42, -6.46 (eV per atom).
Here are the calculated V numbers, same order: 144.9, 109.7, 341.4, 167.9 (Å³ per cell).